Below is an optimized crystal structure of Tm2MgOs, with properties calculated at the GGA-PBE level.

Lattice parameters (Å, degrees): 6.9746 6.9746 6.9746 90.00 90.00 90.00
Closest atoms and distances in Å follow each position.
Space group Fm-3m (No. 225)
One atom of each set of equivalent atoms:
Tm 0.2500 0.2500 0.2500 (multiplicity 8)  4 Os 3.02, 4 Mg 3.02
Mg 0.0000 0.0000 0.0000 (multiplicity 4)  8 Tm 3.02
Os 0.0000 0.0000 0.5000 (multiplicity 4)  8 Tm 3.02

## Properties
Calculated formation energy = -0.195 eV per atom
Offset from the most stable computed form = 64.0 meV per atom
V = 339 Å³ per cell